a:
# PmDy4Cd PBE-GGA optimized geometry
data_PmDy4Cd
_chemical_formula_sum 'Pm4 Dy16 Cd4'
_space_group_name_H-M_alt 'C m c 21'
_space_group_IT_number 36
_cell_length_a 5.554
_cell_length_b 20.881
_cell_length_c 6.516
_cell_angle_alpha 90.00
_cell_angle_beta 90.00
_cell_angle_gamma 90.00
loop_
_space_group_symop_operation_xyz
'x,y,z'
'-x,-y,z+1/2'
'-x,y,z'
'x,-y,z+1/2'
'x+1/2,y+1/2,z'
'-x+1/2,-y+1/2,z+1/2'
'-x+1/2,y+1/2,z'
'x+1/2,-y+1/2,z+1/2'
loop_
_atom_site_label
_atom_site_type_symbol
_atom_site_fract_x
_atom_site_fract_y
_atom_site_fract_z
_atom_site_occupancy
Pm1 Pm 0.000 0.062 0.000 1
Dy1 Dy 0.000 0.137 0.508 1
Dy2 Dy 0.000 0.253 0.886 1
Dy3 Dy 0.000 0.318 0.359 1
Dy4 Dy 0.000 0.461 0.178 1
Cd1 Cd 0.000 0.396 0.756 1
# Crystal system: orthorhombic

***

b:
# PmDy4Cd PBE-GGA optimized geometry
data_PmDy4Cd
_chemical_formula_sum 'Pm1 Dy4 Cd1'
_space_group_name_H-M_alt 'P 4/m m m'
_space_group_IT_number 123
_space_group_name_Hall '-P 4 2'
_cell_length_a 3.585
_cell_length_b 3.585
_cell_length_c 14.142
_cell_angle_alpha 90.00
_cell_angle_beta 90.00
_cell_angle_gamma 90.00
loop_
_atom_site_label
_atom_site_type_symbol
_atom_site_fract_x
_atom_site_fract_y
_atom_site_fract_z
_atom_site_occupancy
Pm1 Pm 0.000 0.000 0.000 1
Dy1 Dy 0.000 0.000 0.355 1
Dy2 Dy 0.500 0.500 0.179 1
Cd1 Cd 0.500 0.500 0.500 1
# Crystal system: tetragonal

***

Stability verdict: b, ahead by 141 meV/atom

***

a:
# Pm3Dy2Cd2 PBE-GGA optimized geometry
data_Pm3Dy2Cd2
_chemical_formula_sum 'Pm6 Dy4 Cd4'
_space_group_name_H-M_alt 'C m m m'
_space_group_IT_number 65
_space_group_name_Hall '-C 2 2'
_cell_length_a 5.110
_cell_length_b 23.205
_cell_length_c 3.500
_cell_angle_alpha 90.00
_cell_angle_beta 90.00
_cell_angle_gamma 90.00
loop_
_atom_site_label
_atom_site_type_symbol
_atom_site_fract_x
_atom_site_fract_y
_atom_site_fract_z
_atom_site_occupancy
Pm1 Pm 0.000 0.000 0.000 1
Pm2 Pm 0.000 0.145 0.000 1
Dy1 Dy 0.000 0.290 0.500 1
Cd1 Cd 0.000 0.431 0.500 1
# Crystal system: orthorhombic

***

b:
# Pm3Dy2Cd2 PBE-GGA optimized geometry
data_Pm3Dy2Cd2
_chemical_formula_sum 'Pm9 Dy6 Cd6'
_space_group_name_H-M_alt 'R -3 m'
_space_group_IT_number 166
_space_group_name_Hall '-R 3 2"'
_cell_length_a 5.4655
_cell_length_b 5.4655
_cell_length_c 24.1752
_cell_angle_alpha 90.00
_cell_angle_beta 90.00
_cell_angle_gamma 120.00
loop_
_atom_site_label
_atom_site_type_symbol
_atom_site_fract_x
_atom_site_fract_y
_atom_site_fract_z
_atom_site_occupancy
Pm1 Pm 0.0000 0.0000 0.0000 1
Pm2 Pm 0.0000 0.0000 0.1581 1
Dy1 Dy 0.0000 0.0000 0.4264 1
Cd1 Cd 0.0000 0.0000 0.2894 1
# Crystal system: trigonal

***

Stability verdict: b, ahead by 99 meV/atom

***

a:
# Pm2Dy3Cd PBE-GGA optimized geometry
data_Pm2Dy3Cd
_chemical_formula_sum 'Pm4 Dy6 Cd2'
_space_group_name_H-M_alt 'I m m 2'
_space_group_IT_number 44
_cell_length_a 6.370
_cell_length_b 10.245
_cell_length_c 5.792
_cell_angle_alpha 90.00
_cell_angle_beta 90.00
_cell_angle_gamma 90.00
loop_
_space_group_symop_operation_xyz
'x,y,z'
'-x,-y,z'
'-x,y,z'
'x,-y,z'
'x+1/2,y+1/2,z+1/2'
'-x+1/2,-y+1/2,z+1/2'
'-x+1/2,y+1/2,z+1/2'
'x+1/2,-y+1/2,z+1/2'
loop_
_atom_site_label
_atom_site_type_symbol
_atom_site_fract_x
_atom_site_fract_y
_atom_site_fract_z
_atom_site_occupancy
Pm1 Pm 0.000 0.179 0.000 1
Dy1 Dy 0.000 0.000 0.500 1
Dy2 Dy 0.000 0.343 0.501 1
Cd1 Cd 0.000 0.500 0.001 1
# Crystal system: orthorhombic

***

b:
# Pm2Dy3Cd PBE-GGA optimized geometry
data_Pm2Dy3Cd
_chemical_formula_sum 'Pm2 Dy3 Cd1'
_space_group_name_H-M_alt 'P 4/m m m'
_space_group_IT_number 123
_space_group_name_Hall '-P 4 2'
_cell_length_a 3.602
_cell_length_b 3.602
_cell_length_c 14.186
_cell_angle_alpha 90.00
_cell_angle_beta 90.00
_cell_angle_gamma 90.00
loop_
_atom_site_label
_atom_site_type_symbol
_atom_site_fract_x
_atom_site_fract_y
_atom_site_fract_z
_atom_site_occupancy
Pm1 Pm 0.000 0.000 0.179 1
Dy1 Dy 0.500 0.500 0.000 1
Dy2 Dy 0.500 0.500 0.356 1
Cd1 Cd 0.000 0.000 0.500 1
# Crystal system: tetragonal

***

Stability verdict: b, ahead by 371 meV/atom